VASP calculation (PBE) on an optimized crystal structure of LaAlBiW2.

abc: 4.942 4.942 5.415
angles: 90.00 90.00 90.00
Positions (direct):
La  0.000  0.000  0.000
Al  0.000  0.000  0.500
Bi  0.500  0.500  0.500
W  0.000  0.500  0.000
W  0.500  0.000  0.000

Values from the calculation:
calculated total energy	-5.403	eV/atom